PuZrBiTe after structural relaxation. Source: Alexandria, functional GGA-PBE.

a = 5.2825 Å, b = 5.2825 Å, c = 5.2825 Å
α = 60.00°, β = 60.00°, γ = 60.00°
Last column: magnetic moment on the atom in μB.
Fractional positions:
Te: 0.7500 0.7500 0.7500  -0.08
Pu: 0.0000 0.0000 0.0000  5.42
Zr: 0.5000 0.5000 0.5000  0.53
Bi: 0.2500 0.2500 0.2500  -0.09

The value obtained for the energy is -31.85 eV per formula unit. Its space group is F-43m. The density of states at the Fermi level comes out at 7.34 states/eV/f.u. The calculation puts the raw formation energy at -0.49 eV/atom. The calculation puts the volume at 104.2 Å³ per cell. Its magnetization is 6.442 μB/f.u.